# 1
VASP calculation (PBE-GGA) on ThGaFe4 after structural relaxation.

The value obtained for the formation energy from the elements is -0.057 eV/atom. As for the density: 9.58 Mg/m³. As for the calculated volume: 364.2 Å³ per cell.

It has space group F-43m (No. 216), with a = 7.142 Å, b = 7.142 Å, c = 7.142 Å, α = 90.00°, β = 90.00° and γ = 90.00°. The inequivalent atoms are Th at (0.000, 0.000, 0.000), Ga at (0.250, 0.250, 0.750) and Fe at (0.124, 0.124, 0.376).



# 2
VASP calculation (PBE-GGA) on AlTcTeI2 after structural relaxation.

As for the raw formation energy: 222 kJ/mol of formula units. Its excess energy over the best structure of this formula in the dataset is 0.000 eV per formula unit. As for the density: 5.10 Mg/m³. As for the calculated volume: 164.8 Å³ per cell.

It has space group P4/mmm (No. 123), with a = 5.706 Å, b = 5.706 Å, c = 5.061 Å, α = 90.00°, β = 90.00° and γ = 90.00°. The inequivalent atoms are Al at (0.000, 0.000, 0.000), Tc at (0.500, 0.500, 0.500), Te at (0.500, 0.500, 0.000) and I at (0.000, 0.500, 0.500).



> Which value of calculated volume does entry 1 give?

364.2 Å³ per cell



> Number 1 is which compound?

ThGaFe4



> The lowest calculated volume belongs to which entry?

AlTcTeI2